No. 1
Mn2RuBr: optimized geometry, PBE.

Values from the calculation:
The calculation puts the energy above the most stable polymorph in this dataset at 531.9 meV/atom. The space group is No. 139. The volume comes out at 16.09 Å³ per atom. Its uncorrected formation energy is 0.776 eV/atom. The value obtained for the density of states at the Fermi level is 4.857 states/eV/f.u.

```
Mn2RuBr
1.0
-2.0231 2.0231 3.9310
2.0231 -2.0231 3.9310
2.0231 2.0231 -3.9310
Mn Ru Br
2 1 1
direct
0.2500 0.7500 0.5000
0.7500 0.2500 0.5000
0.0000 0.0000 0.0000
0.5000 0.5000 0.0000
```


No. 2
MnRuBr: optimized geometry, PBE.

Values from the calculation:
The calculation puts the energy above the most stable polymorph in this dataset at 272.8 meV/atom. The space group is No. 216. The volume comes out at 18.38 Å³ per atom. Its uncorrected formation energy is 0.699 eV/atom. The value obtained for the density of states at the Fermi level is 3.493 states/eV/f.u.

```
MnRuBr
1.0
0.0000 3.0207 3.0207
3.0207 0.0000 3.0207
3.0207 3.0207 0.0000
Mn Ru Br
1 1 1
direct
0.0000 0.0000 0.0000
0.7500 0.7500 0.7500
0.5000 0.5000 0.5000
```


No. 3
MnRuBr: optimized geometry, PBE.

Values from the calculation:
The calculation puts the energy above the most stable polymorph in this dataset at 115.0 meV/atom. The space group is No. 107. The volume comes out at 17.16 Å³ per atom. Its uncorrected formation energy is 0.541 eV/atom. The value obtained for the density of states at the Fermi level is 2.936 states/eV/f.u.

```
MnRuBr
1.0
-1.5259 1.5259 5.5289
1.5259 -1.5259 5.5289
1.5259 1.5259 -5.5289
Mn Ru Br
1 1 1
direct
0.0000 0.0000 0.0000
0.6295 0.6295 0.0000
0.3065 0.3065 0.0000
```


No. 4
Mn2RuBr: optimized geometry, PBE.

Values from the calculation:
The calculation puts the energy above the most stable polymorph in this dataset at 820.0 meV/atom. The space group is No. 225. The volume comes out at 13.48 Å³ per atom. Its uncorrected formation energy is 1.065 eV/atom. The value obtained for the density of states at the Fermi level is 7.961 states/eV/f.u.

```
Mn2RuBr
1.0
0.0000 2.9986 2.9986
2.9986 0.0000 2.9986
2.9986 2.9986 0.0000
Mn Ru Br
2 1 1
direct
0.2500 0.2500 0.2500
0.7500 0.7500 0.7500
0.0000 0.0000 0.0000
0.5000 0.5000 0.5000
```


No. 5
Mn2RuBr: optimized geometry, PBE.

Values from the calculation:
The calculation puts the energy above the most stable polymorph in this dataset at 642.0 meV/atom. The space group is No. 216. The volume comes out at 16.15 Å³ per atom. Its uncorrected formation energy is 0.887 eV/atom. The value obtained for the density of states at the Fermi level is 6.917 states/eV/f.u.

```
Mn2RuBr
1.0
0.0000 3.1847 3.1847
3.1847 0.0000 3.1847
3.1847 3.1847 0.0000
Mn Ru Br
2 1 1
direct
0.0000 0.0000 0.0000
0.2500 0.2500 0.2500
0.7500 0.7500 0.7500
0.5000 0.5000 0.5000
```


No. 6
Mn3RuBr: optimized geometry, PBE.

Values from the calculation:
The calculation puts the energy above the most stable polymorph in this dataset at 725.7 meV/atom. The space group is No. 221. The volume comes out at 15.42 Å³ per atom. Its uncorrected formation energy is 1.701 eV/atom. The value obtained for the density of states at the Fermi level is 14.334 states/eV/f.u.

```
Mn3RuBr
1.0
4.2558 0.0000 0.0000
0.0000 4.2558 0.0000
0.0000 0.0000 4.2558
Mn Ru Br
3 1 1
direct
0.0000 0.0000 0.5000
0.0000 0.5000 0.0000
0.5000 0.0000 0.0000
0.5000 0.5000 0.5000
0.0000 0.0000 0.0000
```